[1]
A geometry-optimized LaBe3Sn structure, computed with PBE-GGA.

Unit cell a=5.0343 b=5.0343 c=5.0343 alpha=90.00 beta=90.00 gamma=90.00
Last column: nearest neighbours and their distance in Å.
Fractional coordinates of all 5 atoms:
1 La 0.0000 0.0000 0.0000  6 Be 2.52
2 Be 0.0000 0.0000 0.5000  2 La 2.52
3 Be 0.0000 0.5000 0.0000  2 La 2.52
4 Be 0.5000 0.0000 0.0000  2 La 2.52
5 Sn 0.5000 0.5000 0.5000  12 Be 3.56

ΔE_f: 8.7 eV per formula unit


[2]
A geometry-optimized SrLaBe structure, computed with PBE-GGA.

Unit cell a=5.0325 b=5.0325 c=4.2886 alpha=90.00 beta=90.00 gamma=120.00
Last column: nearest neighbours and their distance in Å.
Fractional coordinates of all 3 atoms:
1 Sr 0.0000 0.0000 0.0000  3 Be 3.22, 3 La 3.54
2 La 0.3333 0.6667 0.5272  3 Be 3.03
3 Be 0.6667 0.3333 0.3245  3 La 3.03, 3 Sr 3.22

ΔE_f: 1.5 eV per formula unit


[3]
A geometry-optimized SrLaBe2 structure, computed with PBE-GGA.

Unit cell a=5.4040 b=5.4040 c=7.2933 alpha=125.08 beta=125.08 gamma=44.05
Last column: nearest neighbours and their distance in Å.
Fractional coordinates of all 4 atoms:
1 Sr 0.0000 0.0000 0.0000  6 Be 3.14-3.33
2 La 0.5000 0.5000 0.5000  6 Be 2.83-3.00
3 Be 0.2407 0.2407 0.5481  2 Be 2.19
4 Be 0.7593 0.7593 0.4519  2 Be 2.19

ΔE_f: 1.3 eV per formula unit


[4]
A geometry-optimized SrLa2Be2 structure, computed with PBE-GGA.

Unit cell a=8.4257 b=8.4257 c=3.9189 alpha=90.00 beta=90.00 gamma=90.00
Last column: nearest neighbours and their distance in Å.
Fractional coordinates of all 10 atoms:
1 Sr 0.0000 0.0000 0.0000  4 Be 3.46, 8 La 3.69
2 Sr 0.5000 0.5000 0.0000  4 Be 3.46, 8 La 3.69
3 La 0.1705 0.3295 0.5000  6 Be 3.07-3.35
4 La 0.3295 0.8295 0.5000  6 Be 3.07-3.35
5 La 0.6705 0.1705 0.5000  6 Be 3.07-3.35
6 La 0.8295 0.6705 0.5000  6 Be 3.07-3.35
7 Be 0.1018 0.6018 0.0000  1 Be 2.43
8 Be 0.3982 0.1018 0.0000  1 Be 2.43
9 Be 0.6018 0.8982 0.0000  1 Be 2.43
10 Be 0.8982 0.3982 0.0000  1 Be 2.43

ΔE_f: 1.6 eV per formula unit


[5]
A geometry-optimized SrLa3Be structure, computed with PBE-GGA.

Unit cell a=5.8600 b=5.8600 c=5.8600 alpha=90.00 beta=90.00 gamma=90.00
Last column: nearest neighbours and their distance in Å.
Fractional coordinates of all 5 atoms:
1 Sr 0.0000 0.0000 0.0000  6 La 2.93
2 La 0.0000 0.0000 0.5000  2 Sr 2.93
3 La 0.0000 0.5000 0.0000  2 Sr 2.93
4 La 0.5000 0.0000 0.0000  2 Sr 2.93
5 Be 0.5000 0.5000 0.5000  12 La 4.14

ΔE_f: 6.9 eV per formula unit


[6]
A geometry-optimized SrLaBe2 structure, computed with PBE-GGA.

Unit cell a=3.7261 b=3.7261 c=7.2331 alpha=90.00 beta=90.00 gamma=90.00
Last column: nearest neighbours and their distance in Å.
Fractional coordinates of all 4 atoms:
1 Sr 0.0000 0.0000 0.0000  8 Be 3.38, 2 La 3.62, 4 Sr 3.73
2 La 0.0000 0.0000 0.5000  8 Be 3.03
3 Be 0.5000 0.5000 0.2924  1 Be 3.00, 4 La 3.03
4 Be 0.5000 0.5000 0.7076  1 Be 3.00, 4 La 3.03

ΔE_f: 1.5 eV per formula unit


[7]
A geometry-optimized Sr4LaBe structure, computed with PBE-GGA.

Unit cell a=7.2897 b=7.2897 c=7.2897 alpha=60.00 beta=60.00 gamma=60.00
Last column: nearest neighbours and their distance in Å.
Fractional coordinates of all 6 atoms:
1 Sr 0.1253 0.1253 0.1253  6 Sr 3.64-3.65
2 Sr 0.1253 0.1253 0.6242  6 Sr 3.64-3.65
3 Sr 0.1253 0.6242 0.1253  6 Sr 3.64-3.65
4 Sr 0.6242 0.1253 0.1253  6 Sr 3.64-3.65
5 La 0.5000 0.5000 0.5000  12 Sr 4.27, 4 Be 4.46
6 Be 0.7500 0.7500 0.7500  12 Sr 4.27, 4 La 4.46

ΔE_f: 4.9 eV per formula unit


[8]
A geometry-optimized SrLa3Be structure, computed with PBE-GGA.

Unit cell a=5.7369 b=5.7369 c=5.7369 alpha=90.00 beta=90.00 gamma=90.00
Last column: nearest neighbours and their distance in Å.
Fractional coordinates of all 5 atoms:
1 Sr 0.0000 0.0000 0.0000  12 La 4.06
2 La 0.0000 0.5000 0.5000  2 Be 2.87
3 La 0.5000 0.0000 0.5000  2 Be 2.87
4 La 0.5000 0.5000 0.0000  2 Be 2.87
5 Be 0.5000 0.5000 0.5000  6 La 2.87

ΔE_f: 1.4 eV per formula unit


Number 1: calculated density 3.7 g cm⁻³. Number 2: calculated density 4.2 g cm⁻³. Number 3: calculated density 3.5 g cm⁻³. Number 4: calculated density 4.6 g cm⁻³. Number 5: calculated density 4.2 g cm⁻³. Number 6: calculated density 4.0 g cm⁻³. Number 7: calculated density 3.0 g cm⁻³. Number 8: calculated density 4.5 g cm⁻³.